No. 1
Entry from Alexandria: crystalline Ac3Be2As4O2 at its relaxed geometry (GGA-PBE).

Structure (POSCAR):
```
Ac3Be2As4O2
1.0
-2.053 2.053 13.155
2.053 -2.053 13.155
2.053 2.053 -13.155
Ac Be As O
3 2 4 2
Direct
0.000 0.000 0.000
0.194 0.194 0.000
0.806 0.806 0.000
0.454 0.454 0.000
0.546 0.546 0.000
0.094 0.594 0.500
0.406 0.906 0.500
0.594 0.094 0.500
0.906 0.406 0.500
0.283 0.283 0.000
0.717 0.717 0.000
```

The calculation puts the uncorrected formation energy at -1.284 eV/atom.



No. 2
Entry from Alexandria: crystalline TmMgCuAg at its relaxed geometry (GGA-PBE).

Structure (POSCAR):
```
TmMgCuAg
1.0
6.786 0.000 0.000
0.000 6.786 0.000
0.000 0.000 6.786
Tm Mg Cu Ag
4 4 4 4
Direct
0.000 0.000 0.000
0.000 0.500 0.500
0.500 0.000 0.500
0.500 0.500 0.000
0.000 0.000 0.500
0.000 0.500 0.000
0.500 0.000 0.000
0.500 0.500 0.500
0.250 0.250 0.250
0.250 0.750 0.750
0.750 0.250 0.750
0.750 0.750 0.250
0.250 0.250 0.750
0.250 0.750 0.250
0.750 0.250 0.250
0.750 0.750 0.750
```

The formation energy is -0.23 eV per atom.



No. 3
Entry from Alexandria: crystalline PmScAg2 at its relaxed geometry (GGA-PBE).

Structure (POSCAR):
```
PmScAg2
1.0
5.103 0.000 0.000
0.000 5.103 0.000
0.000 0.000 3.562
Pm Sc Ag
1 1 2
Direct
0.000 0.000 0.000
0.500 0.500 0.000
0.000 0.500 0.500
0.500 0.000 0.500
```

The formation energy is -0.22 eV per atom. Its excess energy over the best structure of this formula in the dataset is 0.041 eV per atom.



No. 4
Entry from Alexandria: crystalline Ta2AsBr at its relaxed geometry (GGA-PBE).

Structure (POSCAR):
```
Ta2AsBr
1.0
6.722 0.000 0.000
0.000 6.722 0.000
0.000 0.000 6.722
Ta As Br
8 4 4
Direct
0.000 0.000 0.000
0.000 0.500 0.500
0.250 0.250 0.250
0.250 0.750 0.750
0.500 0.000 0.500
0.500 0.500 0.000
0.750 0.250 0.750
0.750 0.750 0.250
0.250 0.250 0.750
0.250 0.750 0.250
0.750 0.250 0.250
0.750 0.750 0.750
0.000 0.000 0.500
0.000 0.500 0.000
0.500 0.000 0.000
0.500 0.500 0.500
```

The calculation puts the uncorrected formation energy at 0.725 eV/atom. Its excess energy over the best structure of this formula in the dataset is 0.867 eV per atom.



Which magnetic moment belongs to each record? In order, 0.0; 0.0; 0.0; 0.0 μB/cell.
Which VASP energy belongs to each record? In order, -62.42; -55.71; -17.67; -108.52 eV for the cell shown.